Record 1
A PBEsol-optimized structure of LiTl3Sn. Source: the Alexandria database, functional SCAN.

Summary:
SG: No. 221
crystal system: cubic
formation energy: 0.133 eV/atom
Fermi-level density of states: 2.5 states/eV/f.u.

a b c (Å): 5.099 5.099 5.099
angles (deg): 90.00 90.00 90.00
Fractional coordinates of all 5 atoms:
Li1 0.000 0.000 0.000
Tl1 0.000 0.000 0.500
Tl2 0.000 0.500 0.000
Tl3 0.500 0.000 0.000
Sn1 0.500 0.500 0.500



Record 2
A PBEsol-optimized structure of Li2TlSn. Source: the Alexandria database, functional SCAN.

Summary:
excess energy over the best structure of this formula in the dataset: 0.39 eV/f.u.
SG: No. 5
crystal system: monoclinic
formation energy: -0.250 eV/atom
Fermi-level density of states: 1.4 states/eV/f.u.

a b c (Å): 5.601 5.601 6.549
angles (deg): 106.48 106.48 61.78
Fractional coordinates of all 8 atoms:
Li1 0.000 0.000 0.000
Li2 0.480 0.515 0.775
Li3 0.485 0.520 0.225
Li4 0.932 0.068 0.500
Tl1 0.077 0.467 0.386
Tl2 0.533 0.923 0.614
Sn1 0.048 0.437 0.878
Sn2 0.563 0.952 0.122



Record 3
A PBEsol-optimized structure of Li2TlSn. Source: the Alexandria database, functional SCAN.

Summary:
excess energy over the best structure of this formula in the dataset: 0.00 eV/f.u.
SG: No. 225
crystal system: cubic
formation energy: -0.347 eV/atom
Fermi-level density of states: 1.1 states/eV/f.u.

a b c (Å): 4.817 4.817 4.817
angles (deg): 60.00 60.00 60.00
Fractional coordinates of all 4 atoms:
Li1 0.250 0.250 0.250
Li2 0.750 0.750 0.750
Tl1 0.000 0.000 0.000
Sn1 0.500 0.500 0.500



Record 4
A PBEsol-optimized structure of LiTl2Sn. Source: the Alexandria database, functional SCAN.

Summary:
SG: No. 225
crystal system: cubic
formation energy: -0.080 eV/atom
Fermi-level density of states: 1.5 states/eV/f.u.

a b c (Å): 5.238 5.238 5.238
angles (deg): 60.00 60.00 60.00
Fractional coordinates of all 4 atoms:
Li1 0.000 0.000 0.000
Tl1 0.250 0.250 0.250
Tl2 0.750 0.750 0.750
Sn1 0.500 0.500 0.500



Which of these has the highest Fermi-level density of states? LiTl3Sn